# 1
LiMnP3H10O14 | Alexandria via LeMat-Bulk | PBE+U | relaxed; symmetry = P-1; crystal system = triclinic
1.0
7.346 0.000 0.000
0.629 9.976 0.000
3.389 4.527 8.317
Li Mn P H O
2 2 6 20 28
direct
0.130 0.322 0.318
0.870 0.678 0.682
0.445 0.288 0.808
0.555 0.712 0.192
0.009 0.135 0.154
0.093 0.203 0.692
0.166 0.676 0.098
0.834 0.324 0.902
0.907 0.797 0.308
0.991 0.865 0.846
0.180 0.043 0.376
0.186 0.638 0.443
0.196 0.513 0.788
0.213 0.924 0.530
0.293 0.486 0.504
0.366 0.981 0.116
0.401 0.936 0.277
0.404 0.583 0.772
0.411 0.185 0.319
0.481 0.304 0.134
0.519 0.696 0.866
0.589 0.815 0.681
0.596 0.417 0.228
0.599 0.064 0.723
0.634 0.019 0.884
0.707 0.514 0.496
0.787 0.076 0.470
0.804 0.487 0.212
0.814 0.362 0.557
0.820 0.957 0.624
0.009 0.161 0.291
0.023 0.247 0.553
0.050 0.522 0.209
0.086 0.798 0.159
0.123 0.024 0.772
0.126 0.746 0.929
0.202 0.141 0.035
0.274 0.290 0.661
0.287 0.996 0.416
0.305 0.590 0.415
0.323 0.491 0.801
0.384 0.690 0.053
0.422 0.296 0.243
0.449 0.923 0.179
0.551 0.077 0.821
0.578 0.704 0.757
0.616 0.310 0.947
0.677 0.509 0.199
0.695 0.410 0.585
0.713 0.004 0.584
0.726 0.710 0.339
0.798 0.859 0.965
0.874 0.254 0.071
0.877 0.976 0.228
0.914 0.202 0.841
0.950 0.478 0.791
0.977 0.753 0.447
0.991 0.839 0.709


# 2
LiMnP3HO10 | Alexandria via LeMat-Bulk | PBE+U | relaxed; symmetry = C2; crystal system = monoclinic
1.0
4.655 -4.250 0.000
4.655 4.250 0.000
-2.769 0.000 5.916
Li Mn P H O
1 1 3 1 10
direct
0.000 0.000 0.000
0.195 0.805 0.500
0.298 0.702 0.000
0.308 0.334 0.591
0.666 0.692 0.409
0.627 0.373 0.500
0.131 0.740 0.132
0.173 0.118 0.502
0.192 0.484 0.443
0.260 0.869 0.868
0.275 0.449 0.842
0.516 0.808 0.557
0.551 0.725 0.158
0.558 0.312 0.626
0.688 0.442 0.374
0.882 0.827 0.498


# 3
LiMnPHO5 | Alexandria via LeMat-Bulk | PBE+U | relaxed; symmetry = P-1; crystal system = triclinic
1.0
5.154 0.000 0.000
1.706 5.657 0.000
1.373 0.140 6.968
Li Mn P H O
2 2 2 2 10
direct
0.002 0.037 0.329
0.998 0.963 0.671
0.000 0.500 0.000
0.000 0.500 0.500
0.464 0.882 0.897
0.536 0.118 0.103
0.381 0.709 0.397
0.619 0.291 0.603
0.186 0.758 0.461
0.244 0.245 0.206
0.274 0.733 0.978
0.279 0.321 0.747
0.285 0.066 0.754
0.715 0.934 0.246
0.721 0.679 0.253
0.726 0.267 0.022
0.756 0.755 0.794
0.814 0.242 0.539


# 4
LiMnPHO5 | Alexandria via LeMat-Bulk | PBE+U | relaxed; symmetry = P-1; crystal system = triclinic
1.0
4.996 0.000 0.000
0.119 5.759 0.000
0.582 1.295 6.994
Li Mn P H O
2 2 2 2 10
direct
0.001 0.283 0.388
0.999 0.717 0.612
0.000 0.500 0.000
0.500 0.500 0.500
0.480 0.846 0.797
0.520 0.154 0.203
0.133 0.888 0.158
0.867 0.112 0.842
0.139 0.614 0.372
0.174 0.717 0.164
0.221 0.223 0.151
0.321 0.616 0.767
0.392 0.071 0.447
0.608 0.929 0.553
0.679 0.384 0.233
0.779 0.777 0.849
0.826 0.283 0.836
0.861 0.386 0.628


# 5
Li2MnPHO5 | Alexandria via LeMat-Bulk | PBE+U | relaxed; symmetry = P-1; crystal system = triclinic
1.0
5.356 0.000 0.000
-0.469 5.532 0.000
-2.566 -2.655 6.635
Li Mn P H O
4 2 2 2 10
direct
0.014 0.146 0.341
0.266 0.391 0.192
0.734 0.609 0.808
0.986 0.854 0.659
0.500 0.000 0.000
0.500 0.000 0.500
0.169 0.371 0.741
0.831 0.629 0.259
0.178 0.909 0.137
0.822 0.091 0.863
0.112 0.775 0.432
0.151 0.660 0.837
0.224 0.237 0.899
0.330 0.060 0.224
0.388 0.353 0.649
0.612 0.647 0.351
0.670 0.940 0.776
0.776 0.763 0.101
0.849 0.340 0.163
0.888 0.225 0.568


# 6
LiMn2P4H11O18 | Alexandria via LeMat-Bulk | PBE+U | relaxed; symmetry = P1; crystal system = triclinic
1.0
5.423 0.000 0.000
2.411 5.845 0.000
1.291 2.692 11.494
Li Mn P H O
1 2 4 11 18
direct
0.000 0.000 0.000
0.496 0.689 0.462
0.515 0.325 0.276
0.014 0.197 0.466
0.388 0.227 0.016
0.700 0.745 0.725
0.993 0.824 0.264
0.098 0.517 0.879
0.138 0.132 0.198
0.154 0.336 0.588
0.236 0.530 0.670
0.493 0.307 0.656
0.500 0.989 0.844
0.515 0.729 0.071
0.605 0.460 0.859
0.702 0.474 0.056
0.865 0.664 0.141
0.889 0.882 0.536
0.003 0.282 0.581
0.053 0.925 0.505
0.146 0.460 0.967
0.258 0.197 0.393
0.270 0.677 0.314
0.356 0.017 0.982
0.358 0.448 0.610
0.363 0.200 0.150
0.526 0.603 0.792
0.578 0.993 0.763
0.639 0.572 0.114
0.656 0.253 0.970
0.660 0.802 0.594
0.738 0.340 0.412
0.753 0.820 0.340
0.962 0.092 0.220
0.984 0.753 0.144
0.992 0.620 0.759


We obtain E values of -174.8 -109.9 -56.1 -52.4 -62.4 -224.2 eV per formula unit for the records listed above, in that order.